Computed, not measured: a relaxed structure of RbNpCuBr5 at the PBE level of DFT.

Unit cell a=7.938 b=7.938 c=10.719 alpha=103.56 beta=103.56 gamma=106.36
Site moments in Bohr magnetons follow the coordinates.
Atoms (fractional coordinates):
Cu1 0.693 0.307 0.250  -0.03
Cu2 0.307 0.693 0.750  -0.03
Br1 0.233 0.385 0.577  -0.02
Br2 0.087 0.913 0.250  -0.03
Br3 0.385 0.233 0.077  -0.02
Br4 0.316 0.905 0.614  -0.02
Br5 0.905 0.316 0.114  -0.02
Br6 0.095 0.684 0.886  -0.02
Br7 0.913 0.087 0.750  -0.03
Br8 0.615 0.767 0.923  -0.02
Br9 0.684 0.095 0.386  -0.02
Br10 0.767 0.615 0.423  -0.02
Np1 0.000 0.000 0.000  4.01
Np2 0.000 0.000 0.500  4.01
Rb1 0.644 0.356 0.750  0.00
Rb2 0.356 0.644 0.250  0.00

The value obtained for the density of states at the Fermi level is 0.77 states/eV/atom. The space group is C2/c, No. 15. The value obtained for the formation energy without anion corrections is -1157 meV/atom. The total energy comes out at -4.454 eV per atom.